(1)
Computed, not measured: a PBEsol-optimized structure of Ho4InRh at the SCAN level of DFT.

abc: 9.4412 9.4412 9.4412
angles: 60.00 60.00 60.00
Element x y z (fractional)
Ho (0.1883, 0.1883, 0.8117)
Ho (0.1883, 0.8117, 0.1883)
Ho (0.1883, 0.8117, 0.8117)
Ho (0.4002, 0.4002, 0.4002)
Ho (0.4002, 0.4002, 0.7995)
Ho (0.4002, 0.7995, 0.4002)
Ho (0.5604, 0.5604, 0.9396)
Ho (0.5604, 0.9396, 0.5604)
Ho (0.5604, 0.9396, 0.9396)
Ho (0.7995, 0.4002, 0.4002)
Ho (0.8117, 0.1883, 0.1883)
Ho (0.8117, 0.1883, 0.8117)
Ho (0.8117, 0.8117, 0.1883)
Ho (0.9396, 0.5604, 0.5604)
Ho (0.9396, 0.5604, 0.9396)
Ho (0.9396, 0.9396, 0.5604)
In (0.1673, 0.1673, 0.1673)
In (0.1673, 0.1673, 0.4980)
In (0.1673, 0.4980, 0.1673)
In (0.4980, 0.1673, 0.1673)
Rh (0.1774, 0.6075, 0.6075)
Rh (0.6075, 0.1774, 0.6075)
Rh (0.6075, 0.6075, 0.1774)
Rh (0.6075, 0.6075, 0.6075)

- Formation enthalpy at 0 K: -0.687 eV per atom
- Total DFT energy (no corrections): -44.54 eV per atom
- Size of the total moment: 0.0 μB/f.u.

(2)
Computed, not measured: a PBEsol-optimized structure of Ho3InS6 at the SCAN level of DFT.

abc: 13.2241 16.2705 3.7797
angles: 90.00 90.00 90.00
Element x y z (fractional)
Ho (0.0398, 0.2249, 0.2497)
Ho (0.1890, 0.6460, 0.2499)
Ho (0.2502, 0.3931, 0.2507)
Ho (0.2498, 0.8931, 0.7493)
Ho (0.3110, 0.1460, 0.7501)
Ho (0.4602, 0.7249, 0.7503)
Ho (0.5398, 0.2751, 0.7503)
Ho (0.6890, 0.8540, 0.7501)
Ho (0.7502, 0.1069, 0.7493)
Ho (0.7498, 0.6069, 0.2507)
Ho (0.8110, 0.3540, 0.2499)
Ho (0.9602, 0.7751, 0.2497)
In (0.0000, 0.0000, 0.7481)
In (0.0000, 0.5000, 0.7505)
In (0.5000, 0.0000, 0.2495)
In (0.5000, 0.5000, 0.2519)
S (0.0219, 0.3941, 0.2504)
S (0.0966, 0.9110, 0.2491)
S (0.1121, 0.1189, 0.7495)
S (0.1129, 0.7468, 0.7498)
S (0.1817, 0.2863, 0.7504)
S (0.1949, 0.5206, 0.7503)
S (0.3051, 0.0206, 0.2497)
S (0.3183, 0.7863, 0.2496)
S (0.3871, 0.2468, 0.2502)
S (0.3879, 0.6189, 0.2505)
S (0.4034, 0.4110, 0.7509)
S (0.4781, 0.8941, 0.7496)
S (0.5219, 0.1059, 0.7496)
S (0.5966, 0.5890, 0.7509)
S (0.6121, 0.3811, 0.2505)
S (0.6129, 0.7532, 0.2502)
S (0.6817, 0.2137, 0.2496)
S (0.6949, 0.9794, 0.2497)
S (0.8051, 0.4794, 0.7503)
S (0.8183, 0.7137, 0.7504)
S (0.8871, 0.2532, 0.7498)
S (0.8879, 0.8811, 0.7495)
S (0.9034, 0.0890, 0.2491)
S (0.9781, 0.6059, 0.2504)

- Raw formation energy: -1.93 eV per atom
- Total DFT energy (no corrections): -25.74 eV per atom
- Size of the total moment: 0.0 μB/f.u.

(3)
Computed, not measured: a PBEsol-optimized structure of Ho4In5S13 at the SCAN level of DFT.

abc: 11.7524 21.0977 3.7869
angles: 90.00 90.00 90.00
Element x y z (fractional)
Ho (0.0176, 0.1735, 0.0000)
Ho (0.1772, 0.3396, 0.0000)
Ho (0.3228, 0.8396, 0.0000)
Ho (0.4824, 0.6735, 0.0000)
Ho (0.5176, 0.3265, 0.0000)
Ho (0.6772, 0.1604, 0.0000)
Ho (0.8228, 0.6604, 0.0000)
Ho (0.9824, 0.8265, 0.0000)
In (0.0000, 0.5000, 0.0000)
In (0.1540, 0.9916, 0.5000)
In (0.1580, 0.6675, 0.5000)
In (0.3420, 0.1675, 0.5000)
In (0.3460, 0.4916, 0.5000)
In (0.5000, 0.0000, 0.0000)
In (0.6540, 0.5084, 0.5000)
In (0.6580, 0.8325, 0.5000)
In (0.8420, 0.3325, 0.5000)
In (0.8460, 0.0084, 0.5000)
S (0.0000, 0.0000, 0.0000)
S (0.0065, 0.4061, 0.5000)
S (0.0868, 0.2610, 0.5000)
S (0.1473, 0.8642, 0.5000)
S (0.1540, 0.1140, 0.5000)
S (0.1632, 0.7412, 0.0000)
S (0.2044, 0.4721, 0.0000)
S (0.2956, 0.9721, 0.0000)
S (0.3368, 0.2412, 0.0000)
S (0.3460, 0.6140, 0.5000)
S (0.3527, 0.3642, 0.5000)
S (0.4132, 0.7610, 0.5000)
S (0.4935, 0.9061, 0.5000)
S (0.5000, 0.5000, 0.0000)
S (0.5065, 0.0939, 0.5000)
S (0.5868, 0.2390, 0.5000)
S (0.6473, 0.6358, 0.5000)
S (0.6540, 0.3860, 0.5000)
S (0.6632, 0.7588, 0.0000)
S (0.7044, 0.0279, 0.0000)
S (0.7956, 0.5279, 0.0000)
S (0.8368, 0.2588, 0.0000)
S (0.8460, 0.8860, 0.5000)
S (0.8527, 0.1358, 0.5000)
S (0.9132, 0.7390, 0.5000)
S (0.9935, 0.5939, 0.5000)

- Raw formation energy: -1.38 eV per atom
- Total DFT energy (no corrections): -23.56 eV per atom
- Size of the total moment: 0.0 μB/f.u.

(4)
Computed, not measured: a PBEsol-optimized structure of Ho2TlIn at the SCAN level of DFT.

abc: 5.2266 5.2266 5.2266
angles: 60.00 60.00 60.00
Element x y z (fractional)
Ho (0.2500, 0.2500, 0.2500)
Ho (0.7500, 0.7500, 0.7500)
Tl (0.0000, 0.0000, 0.0000)
In (0.5000, 0.5000, 0.5000)

- Formation enthalpy at 0 K: -0.555 eV per atom
- Total DFT energy (no corrections): -51.49 eV per atom
- Size of the total moment: 0.0 μB/f.u.

(5)
Computed, not measured: a PBEsol-optimized structure of Ho2ZnIn at the SCAN level of DFT.

abc: 5.0843 5.0843 5.0843
angles: 60.00 60.00 60.00
Element x y z (fractional)
Ho (0.2500, 0.2500, 0.2500)
Ho (0.7500, 0.7500, 0.7500)
Zn (0.0000, 0.0000, 0.0000)
In (0.5000, 0.5000, 0.5000)

- Formation enthalpy at 0 K: -0.514 eV per atom
- Total DFT energy (no corrections): -36.73 eV per atom
- Size of the total moment: 0.0 μB/f.u.

(6)
Computed, not measured: a PBEsol-optimized structure of Ho5Ir3 at the SCAN level of DFT.

abc: 10.6827 10.6827 6.2264
angles: 90.00 90.00 90.00
Element x y z (fractional)
Ho (0.0411, 0.1624, 0.1233)
Ho (0.0411, 0.3376, 0.6233)
Ho (0.1624, 0.0411, 0.6233)
Ho (0.1624, 0.4589, 0.1233)
Ho (0.2500, 0.7500, 0.0000)
Ho (0.2500, 0.7500, 0.5000)
Ho (0.3376, 0.0411, 0.1233)
Ho (0.3376, 0.4589, 0.6233)
Ho (0.4589, 0.1624, 0.6233)
Ho (0.4589, 0.3376, 0.1233)
Ho (0.5411, 0.6624, 0.8767)
Ho (0.5411, 0.8376, 0.3767)
Ho (0.6624, 0.5411, 0.3767)
Ho (0.6624, 0.9589, 0.8767)
Ho (0.7500, 0.2500, 0.0000)
Ho (0.7500, 0.2500, 0.5000)
Ho (0.8376, 0.5411, 0.8767)
Ho (0.8376, 0.9589, 0.3767)
Ho (0.9589, 0.6624, 0.3767)
Ho (0.9589, 0.8376, 0.8767)
Ir (0.0960, 0.5960, 0.7500)
Ir (0.0960, 0.9040, 0.2500)
Ir (0.2500, 0.2500, 0.3763)
Ir (0.2500, 0.2500, 0.8763)
Ir (0.4040, 0.5960, 0.2500)
Ir (0.4040, 0.9040, 0.7500)
Ir (0.5960, 0.0960, 0.2500)
Ir (0.5960, 0.4040, 0.7500)
Ir (0.7500, 0.7500, 0.1237)
Ir (0.7500, 0.7500, 0.6237)
Ir (0.9040, 0.0960, 0.7500)
Ir (0.9040, 0.4040, 0.2500)

- Formation enthalpy at 0 K: -1.029 eV per atom
- Total DFT energy (no corrections): -58.31 eV per atom
- Size of the total moment: 0.0 μB/f.u.

(7)
Computed, not measured: a PBEsol-optimized structure of Ho3Ir2 at the SCAN level of DFT.

abc: 14.5957 14.5957 14.5957
angles: 135.70 135.70 64.44
Element x y z (fractional)
Ho (0.9996, 0.2780, 0.1338)
Ho (0.0004, 0.7220, 0.8662)
Ho (0.0167, 0.7265, 0.1318)
Ho (0.0948, 0.2265, 0.7099)
Ho (0.1132, 0.6132, 0.5000)
Ho (0.1151, 0.9833, 0.7099)
Ho (0.1342, 0.0004, 0.2783)
Ho (0.1441, 0.8658, 0.8662)
Ho (0.1535, 0.3465, 0.5000)
Ho (0.2220, 0.5004, 0.8662)
Ho (0.2265, 0.5167, 0.1318)
Ho (0.2500, 0.7500, 0.5000)
Ho (0.2735, 0.4052, 0.2901)
Ho (0.2780, 0.1441, 0.2783)
Ho (0.3465, 0.8465, 0.1930)
Ho (0.3559, 0.2220, 0.7217)
Ho (0.3658, 0.6441, 0.8662)
Ho (0.3849, 0.0948, 0.8682)
Ho (0.3868, 0.8868, 0.5000)
Ho (0.4052, 0.1151, 0.1318)
Ho (0.4833, 0.6151, 0.7099)
Ho (0.4996, 0.3658, 0.7217)
Ho (0.5004, 0.6342, 0.2783)
Ho (0.5167, 0.3849, 0.2901)
Ho (0.5948, 0.8849, 0.8682)
Ho (0.6132, 0.1132, 0.5000)
Ho (0.6151, 0.9052, 0.1318)
Ho (0.6342, 0.3559, 0.1338)
Ho (0.6441, 0.7780, 0.2783)
Ho (0.6535, 0.1535, 0.8070)
Ho (0.7220, 0.8559, 0.7217)
Ho (0.7265, 0.5948, 0.7099)
Ho (0.7500, 0.2500, 0.5000)
Ho (0.7735, 0.4833, 0.8682)
Ho (0.7780, 0.4996, 0.1338)
Ho (0.8465, 0.6535, 0.5000)
Ho (0.8559, 0.1342, 0.1338)
Ho (0.8658, 0.9996, 0.7217)
Ho (0.8849, 0.0167, 0.2901)
Ho (0.8868, 0.3868, 0.5000)
Ho (0.9052, 0.7735, 0.2901)
Ho (0.9833, 0.2735, 0.8682)
Ir (0.0000, 0.0000, 0.0000)
Ir (0.0329, 0.5329, 0.1912)
Ir (0.0746, 0.2123, 0.5000)
Ir (0.0946, 0.5946, 0.6893)
Ir (0.1330, 0.1330, 0.0000)
Ir (0.1584, 0.9671, 0.5000)
Ir (0.2123, 0.7123, 0.1377)
Ir (0.2500, 0.2500, 0.0000)
Ir (0.2877, 0.4254, 0.5000)
Ir (0.3416, 0.8416, 0.8088)
Ir (0.3670, 0.3670, 0.0000)
Ir (0.4054, 0.0946, 0.5000)
Ir (0.4254, 0.9254, 0.1377)
Ir (0.4671, 0.6584, 0.5000)
Ir (0.5000, 0.5000, 0.0000)
Ir (0.5329, 0.3416, 0.5000)
Ir (0.5746, 0.0746, 0.8623)
Ir (0.5946, 0.9054, 0.5000)
Ir (0.6330, 0.6330, 0.0000)
Ir (0.6584, 0.1584, 0.1912)
Ir (0.7123, 0.5746, 0.5000)
Ir (0.7500, 0.7500, 0.0000)
Ir (0.7877, 0.2877, 0.8623)
Ir (0.8416, 0.0329, 0.5000)
Ir (0.8670, 0.8670, 0.0000)
Ir (0.9054, 0.4054, 0.3107)
Ir (0.9254, 0.7877, 0.5000)
Ir (0.9671, 0.4671, 0.8088)

- Formation enthalpy at 0 K: -1.010 eV per atom
- Total DFT energy (no corrections): -58.84 eV per atom
- Size of the total moment: 0.0 μB/f.u.

(8)
Computed, not measured: a PBEsol-optimized structure of Ho2IrPd at the SCAN level of DFT.

abc: 4.7941 4.7941 4.7941
angles: 60.00 60.00 60.00
Element x y z (fractional)
Ho (0.2500, 0.2500, 0.2500)
Ho (0.7500, 0.7500, 0.7500)
Ir (0.0000, 0.0000, 0.0000)
Pd (0.5000, 0.5000, 0.5000)

- Formation enthalpy at 0 K: -1.088 eV per atom
- Total DFT energy (no corrections): -51.55 eV per atom
- Size of the total moment: 0.0 μB/f.u.